Entry 1:
16
Lattice="-3.902 5.427 1.785 -1.960 -3.369 5.957 6.737 0.866 -1.312" Properties=species:S:1:pos:R:3 comment="Sr4Pu3TcN8 (GGA-PBE, relaxed)" formation_energy_uncorrected_mev_per_atom=-845 final_energy_ev_per_cell=-140.20 space_group="R-3m, No. 166" magnetic_moment_mub_per_cell=9.0 pbc="T T T"
Pu 0.438 1.462 3.215
Pu -2.931 1.029 3.871
Pu 2.389 -1.251 2.322
Sr -1.951 2.713 0.893
Sr 0.000 0.000 0.000
Sr 3.369 0.433 -0.656
Sr 1.418 3.146 0.237
Tc -0.980 -1.684 2.978
N 4.228 -0.252 3.307
N 2.277 2.460 4.199
N -3.352 3.176 3.123
N 0.860 -0.685 3.962
N -1.092 2.028 4.852
N 0.016 3.609 2.468
N 1.968 0.896 1.579
N -1.401 0.464 2.231

Entry 2:
5
Lattice="-3.178 -1.700 -2.182 -2.005 -0.874 3.601 -1.906 3.754 -0.149" Properties=species:S:1:pos:R:3 comment="Ta3RhO (GGA-PBE, relaxed)" formation_energy_uncorrected_mev_per_atom=-666 final_energy_ev_per_cell=-51.20 space_group="Pm-3m, No. 221" magnetic_moment_mub_per_cell=0.0 pbc="T T T"
Rh -3.544 0.590 0.635
Ta -1.589 -0.850 -1.091
Ta -0.953 1.877 -0.075
Ta -1.002 -0.437 1.800
O 0.000 0.000 0.000

Entry 3:
7
Lattice="3.699 0.000 0.000 -1.849 5.693 -0.391 0.000 -3.104 7.729" Properties=species:S:1:pos:R:3 comment="Tm2Zr3Os2 (GGA-PBE, relaxed)" formation_energy_ev_per_atom=-0.28 final_energy_ev_per_cell=-59.03 space_group="C2/m, No. 12" magnetic_moment_mub_per_cell=0.0 pbc="T T T"
Os 1.849 1.442 5.652
Os 0.000 1.147 1.686
Zr 1.849 0.000 0.000
Zr 0.000 2.572 4.039
Zr 1.849 0.017 3.299
Tm 0.000 -0.771 6.102
Tm 1.849 3.360 1.236

Entry 4:
18
Lattice="-0.036 3.212 4.433 -2.218 -5.000 0.224 7.720 -3.315 2.464" Properties=species:S:1:pos:R:3 comment="CeMgTcO6 (GGA-PBE, relaxed)" formation_energy_uncorrected_mev_per_atom=-2179 final_energy_ev_per_cell=-134.52 space_group="P-31c, No. 163" magnetic_moment_mub_per_cell=2.1 pbc="T T T"
Tc 1.167 -0.354 3.646
Tc 4.299 -4.749 3.475
Ce 5.027 -2.012 4.878
Ce 0.439 -3.091 2.243
O 1.424 -1.340 5.293
O 2.744 0.729 3.940
O 4.042 -3.763 1.828
O 0.248 1.042 4.624
O -0.441 -1.419 3.474
O 2.145 -1.660 2.604
O 0.880 0.522 1.943
O 2.722 -5.832 3.181
O 5.908 -3.684 3.647
O 3.321 -3.443 4.518
O 5.218 -6.145 2.498
O 4.586 -5.625 5.178
Mg 3.860 -1.657 1.232
Mg 0.000 0.000 0.000

Entry 5:
20
Lattice="-2.645 -4.752 -1.610 1.683 -0.661 -7.372 4.531 -5.574 2.454" Properties=species:S:1:pos:R:3 comment="RbBeGe2O6 (GGA-PBE, relaxed)" formation_energy_uncorrected_mev_per_atom=-1670 final_energy_ev_per_cell=-120.76 space_group="C2/c, No. 15" magnetic_moment_mub_per_cell=2.0 pbc="T T T"
Rb 1.342 -2.401 -6.670
Rb 2.228 -8.586 0.142
O 2.822 -7.191 -3.959
O 1.653 -4.899 -5.448
O 1.426 -9.164 -2.476
O 2.144 -1.823 -4.052
O 0.748 -3.796 -2.569
O 1.916 -6.088 -1.080
O 3.946 -4.474 -3.836
O -0.768 -4.215 -6.576
O 4.337 -6.772 0.048
O -0.377 -6.512 -2.692
O 2.593 -5.356 1.262
O 0.976 -5.631 -7.790
Be 0.364 -5.372 -6.285
Be 3.205 -5.615 -0.243
Ge 2.260 -8.896 -3.975
Ge 3.092 -5.674 -4.862
Ge 0.478 -5.312 -1.667
Ge 1.310 -2.090 -2.553

Entry 6:
12
Lattice="-1.698 3.193 -3.252 -4.321 1.018 3.255 4.251 6.073 3.743" Properties=species:S:1:pos:R:3 comment="SiHgN (GGA-PBE, relaxed)" formation_energy_uncorrected_mev_per_atom=-379 final_energy_ev_per_cell=-60.75 space_group="Pca2_1, No. 29" magnetic_moment_mub_per_cell=0.0 pbc="T T T"
Hg -3.214 7.667 2.464
Hg -1.996 5.812 0.006
Hg 0.845 3.746 0.132
Hg -0.373 5.601 2.589
Si -1.680 9.594 3.183
Si -3.040 4.055 -1.544
Si 0.498 7.684 3.808
Si -0.862 2.146 -0.919
N -1.796 2.972 -2.140
N -0.003 9.131 2.970
N -2.018 1.628 0.293
N -0.224 7.786 5.402